Entry 1:
A plane-wave DFT calculation with PBE was carried out for CsRe3O after structural relaxation.

Unit cell a=4.9622 b=4.9622 c=4.9622 alpha=90.00 beta=90.00 gamma=90.00
With the nearest neighbours (Å) after each atom.
Element x y z (fractional)
Cs 0.0000 0.0000 0.0000  6 Re 2.48
Re 0.0000 0.0000 0.5000  2 Cs 2.48
Re 0.0000 0.5000 0.0000  2 Cs 2.48
Re 0.5000 0.0000 0.0000  2 Cs 2.48
O 0.5000 0.5000 0.5000  12 Re 3.51

Computed properties:
* ΔE to the lowest computed polymorph: 2.663 eV per atom
* total magnetic moment: 5.9 Bohr magnetons per cell
* uncorrected formation energy: 4695 meV/atom
* space group: No. 221

---

Entry 2:
A plane-wave DFT calculation with PBE was carried out for K2BeSe after structural relaxation.

Unit cell a=5.9006 b=5.9006 c=19.7056 alpha=90.00 beta=90.00 gamma=90.00
With the nearest neighbours (Å) after each atom.
Element x y z (fractional)
K 0.2158 0.2500 0.1250  2 Se 3.14, 2 Be 3.33
K 0.2500 0.7158 0.3750  2 Se 3.14, 2 Be 3.33
K 0.2500 0.7842 0.8750  2 Se 3.14, 2 Be 3.33
K 0.2842 0.2500 0.6250  2 Se 3.14, 2 Be 3.33
K 0.7158 0.7500 0.6250  2 Se 3.14, 2 Be 3.33
K 0.7500 0.2158 0.8750  2 Se 3.14, 2 Be 3.33
K 0.7500 0.2842 0.3750  2 Se 3.14, 2 Be 3.33
K 0.7842 0.7500 0.1250  2 Se 3.14, 2 Be 3.33
Be 0.0000 0.0000 0.5000  4 K 3.33
Be 0.0000 0.5000 0.7500  4 K 3.33
Be 0.5000 0.0000 0.2500  4 K 3.33
Be 0.5000 0.5000 0.0000  4 K 3.33
Se 0.0000 0.0000 0.0000  4 K 3.14
Se 0.0000 0.5000 0.2500  4 K 3.14
Se 0.5000 0.0000 0.7500  4 K 3.14
Se 0.5000 0.5000 0.5000  4 K 3.14

Computed properties:
* ΔE to the lowest computed polymorph: 0.594 eV per atom
* total magnetic moment: 0.0 Bohr magnetons per cell
* uncorrected formation energy: 282 meV/atom
* space group: No. 122

---

Entry 3:
A plane-wave DFT calculation with PBE was carried out for Tb2Hf2Ni15 after structural relaxation.

Unit cell a=6.4208 b=6.4208 c=6.4208 alpha=82.00 beta=82.00 gamma=82.00
With the nearest neighbours (Å) after each atom.
Element x y z (fractional)
Tb 0.1437 0.1437 0.1437  12 Ni 2.93-3.10, 1 Hf 3.11
Tb 0.8563 0.8563 0.8563  12 Ni 2.93-3.10, 1 Hf 3.11
Hf 0.3913 0.3913 0.3913  6 Ni 2.54-2.61, 1 Hf 2.73
Hf 0.6087 0.6087 0.6087  6 Ni 2.54-2.61, 1 Hf 2.73
Ni 0.0000 0.5000 0.5000  8 Ni 2.45-2.46, 2 Hf 2.54
Ni 0.1535 0.1535 0.6585  8 Ni 2.42-2.59, 1 Hf 2.61
Ni 0.1535 0.6585 0.1535  8 Ni 2.42-2.59, 1 Hf 2.61
Ni 0.2008 0.5000 0.7992  8 Ni 2.46-2.59
Ni 0.2008 0.7992 0.5000  8 Ni 2.46-2.59
Ni 0.3415 0.8465 0.8465  8 Ni 2.42-2.59, 1 Hf 2.61
Ni 0.5000 0.0000 0.5000  8 Ni 2.45-2.46, 2 Hf 2.54
Ni 0.5000 0.2008 0.7992  8 Ni 2.46-2.59
Ni 0.5000 0.5000 0.0000  8 Ni 2.45-2.46, 2 Hf 2.54
Ni 0.5000 0.7992 0.2008  8 Ni 2.46-2.59
Ni 0.6585 0.1535 0.1535  8 Ni 2.42-2.59, 1 Hf 2.61
Ni 0.7992 0.2008 0.5000  8 Ni 2.46-2.59
Ni 0.7992 0.5000 0.2008  8 Ni 2.46-2.59
Ni 0.8465 0.3415 0.8465  8 Ni 2.42-2.59, 1 Hf 2.61
Ni 0.8465 0.8465 0.3415  8 Ni 2.42-2.59, 1 Hf 2.61

Computed properties:
* formation energy from the elements: -0.307 eV per atom
* total magnetic moment: 0.3 Bohr magnetons per cell
* space group: No. 166

---

Entry 4:
A plane-wave DFT calculation with PBE was carried out for TaSb2As after structural relaxation.

Unit cell a=3.7940 b=4.8884 c=9.1549 alpha=90.00 beta=90.00 gamma=90.00
With the nearest neighbours (Å) after each atom.
Element x y z (fractional)
Ta 0.0000 0.0000 0.0000  4 As 3.09, 8 Sb 3.12-3.23
Ta 0.5000 0.5000 0.5000  4 As 3.09, 8 Sb 3.12-3.23
Sb 0.0000 0.5000 0.2299  2 As 2.83, 4 Sb 3.12, 2 Ta 3.12
Sb 0.0000 0.5000 0.7701  2 As 2.83, 4 Sb 3.12, 2 Ta 3.12
Sb 0.5000 0.0000 0.2701  2 As 2.83, 4 Sb 3.12, 2 Ta 3.12
Sb 0.5000 0.0000 0.7299  2 As 2.83, 4 Sb 3.12, 2 Ta 3.12
As 0.0000 0.0000 0.5000  4 Sb 2.83, 4 Ta 3.09
As 0.5000 0.5000 0.0000  4 Sb 2.83, 4 Ta 3.09

Computed properties:
* total magnetic moment: 0.0 Bohr magnetons per cell
* uncorrected formation energy: 393 meV/atom
* space group: No. 71